The following is a DFT calculation (PBE-GGA) of an optimized crystal structure of BeFeNi2.

Structure (CIF):
```
data_BeFeNi2
_space_group_name_H-M_alt 'I m m 2'
_space_group_IT_number 44
_cell_length_a 2.605
_cell_length_b 3.963
_cell_length_c 7.917
_cell_angle_alpha 90.00
_cell_angle_beta 90.00
_cell_angle_gamma 90.00
loop_
_space_group_symop_operation_xyz
'x,y,z'
'-x,-y,z'
'-x,y,z'
'x,-y,z'
'x+1/2,y+1/2,z+1/2'
'-x+1/2,-y+1/2,z+1/2'
'-x+1/2,y+1/2,z+1/2'
'x+1/2,-y+1/2,z+1/2'
loop_
_atom_site_label
_atom_site_fract_x
_atom_site_fract_y
_atom_site_fract_z
Be1 0.000 0.000 0.000
Fe1 0.000 0.500 0.740
Ni1 0.000 0.000 0.506
Ni2 0.000 0.500 0.278
```

The following is a DFT calculation (PBE-GGA) of an optimized crystal structure of Be3FeNi2.

Structure (CIF):
```
data_Be3FeNi2
_space_group_name_H-M_alt 'P 4/m m m'
_space_group_IT_number 123
_space_group_name_Hall '-P 4 2'
_cell_length_a 2.594
_cell_length_b 2.594
_cell_length_c 8.004
_cell_angle_alpha 90.00
_cell_angle_beta 90.00
_cell_angle_gamma 90.00
loop_
_atom_site_label
_atom_site_fract_x
_atom_site_fract_y
_atom_site_fract_z
Be1 0.000 0.000 0.000
Be2 0.000 0.000 0.325
Fe1 0.500 0.500 0.500
Ni1 0.500 0.500 0.163
```

The following is a DFT calculation (PBE-GGA) of an optimized crystal structure of BeFeNi2.

Structure (CIF):
```
data_BeFeNi2
_space_group_name_H-M_alt 'P 4 m m'
_space_group_IT_number 99
_cell_length_a 2.504
_cell_length_b 2.504
_cell_length_c 6.425
_cell_angle_alpha 90.00
_cell_angle_beta 90.00
_cell_angle_gamma 90.00
loop_
_space_group_symop_operation_xyz
'x,y,z'
'-y,x,z'
'-x,-y,z'
'y,-x,z'
'-x,y,z'
'y,x,z'
'x,-y,z'
'-y,-x,z'
loop_
_atom_site_label
_atom_site_fract_x
_atom_site_fract_y
_atom_site_fract_z
Be1 0.000 0.000 0.000
Fe1 0.500 0.500 0.236
Ni1 0.000 0.000 0.511
Ni2 0.500 0.500 0.790
```

Short version: formation enthalpy at 0 K = -0.13; -0.37; -0.16 eV/atom, in the order given.
Short version: volume = 10.22; 8.98; 10.07 Å³/atom, in the order given.